# 1
VASP calculation (meta-GGA SCAN) on a crystal of Ti2Be2Bi relaxed with PBEsol.

Unit cell a=3.648 b=6.322 c=6.322 alpha=90.00 beta=90.00 gamma=90.00
Element x y z (fractional)
Be1 0.000 0.388 0.888
Be2 0.000 0.888 0.612
Be3 0.000 0.612 0.112
Be4 0.000 0.112 0.388
Bi1 0.000 0.000 0.000
Bi2 0.000 0.500 0.500
Ti1 0.500 0.169 0.669
Ti2 0.500 0.669 0.831
Ti3 0.500 0.831 0.331
Ti4 0.500 0.331 0.169

## Properties
ΔH_f (0 K): -69 meV/atom
VASP energy: -239.38 eV for the cell shown

---

# 2
VASP calculation (meta-GGA SCAN) on a crystal of Sr3Cu3P4O16 relaxed with PBEsol.

Unit cell a=4.923 b=9.197 c=15.031 alpha=92.75 beta=90.00 gamma=90.00
Element x y z (fractional)
Sr1 0.533 0.458 0.264
Sr2 0.467 0.542 0.736
Sr3 0.967 0.958 0.764
Sr4 0.000 0.000 0.500
Sr5 0.033 0.042 0.236
Sr6 0.500 0.500 0.000
Cu1 0.038 0.672 0.380
Cu2 0.462 0.172 0.880
Cu3 0.538 0.828 0.120
Cu4 0.962 0.328 0.620
Cu5 0.500 0.500 0.500
Cu6 0.000 0.000 0.000
P1 0.522 0.871 0.336
P2 0.978 0.371 0.836
P3 0.022 0.629 0.164
P4 0.012 0.649 0.588
P5 0.988 0.351 0.412
P6 0.512 0.851 0.912
P7 0.488 0.149 0.088
P8 0.478 0.129 0.664
O1 0.310 0.004 0.081
O2 0.209 0.898 0.907
O3 0.572 0.765 0.995
O4 0.016 0.415 0.737
O5 0.428 0.235 0.005
O6 0.984 0.585 0.263
O7 0.830 0.879 0.357
O8 0.923 0.787 0.151
O9 0.908 0.265 0.327
O10 0.137 0.487 0.890
O11 0.291 0.398 0.407
O12 0.709 0.602 0.593
O13 0.637 0.013 0.610
O14 0.928 0.265 0.495
O15 0.516 0.085 0.763
O16 0.690 0.996 0.919
O17 0.423 0.713 0.349
O18 0.072 0.735 0.505
O19 0.170 0.121 0.643
O20 0.791 0.102 0.093
O21 0.592 0.765 0.827
O22 0.484 0.915 0.237
O23 0.863 0.513 0.110
O24 0.670 0.379 0.857
O25 0.408 0.235 0.173
O26 0.810 0.496 0.419
O27 0.077 0.213 0.849
O28 0.330 0.621 0.143
O29 0.363 0.987 0.390
O30 0.577 0.287 0.651
O31 0.092 0.735 0.673
O32 0.190 0.504 0.581

## Properties
VASP energy: -637.09 eV for the cell shown

---

# 3
VASP calculation (meta-GGA SCAN) on a crystal of TlNi2P relaxed with PBEsol.

Unit cell a=2.948 b=3.217 c=6.616 alpha=104.07 beta=102.87 gamma=90.00
Element x y z (fractional)
Ni1 0.992 0.992 0.983
Ni2 0.663 0.163 0.325
P1 0.545 0.545 0.089
Tl1 0.301 0.801 0.602

## Properties
ΔH_f (0 K): -38 meV/atom
VASP energy: -115.26 eV for the cell shown

---

# 4
VASP calculation (meta-GGA SCAN) on a crystal of Zr2CdBAs relaxed with PBEsol.

Unit cell a=3.881 b=5.234 c=5.234 alpha=90.00 beta=90.00 gamma=90.00
Element x y z (fractional)
As1 0.500 0.500 0.500
B1 0.500 0.000 0.000
Zr1 0.000 0.000 0.500
Zr2 0.000 0.500 0.000
Cd1 0.000 0.000 0.000

## Properties
ΔH_f (0 K): 929 meV/atom
VASP energy: -114.79 eV for the cell shown

---

# 5
VASP calculation (meta-GGA SCAN) on a crystal of TlSeF2 relaxed with PBEsol.

Unit cell a=3.004 b=3.004 c=8.682 alpha=80.04 beta=80.04 gamma=60.00
Element x y z (fractional)
Tl1 0.000 0.000 0.000
Se1 0.500 0.500 0.500
F1 0.904 0.904 0.287
F2 0.096 0.096 0.713

## Properties
VASP energy: -101.81 eV for the cell shown

---

# 6
VASP calculation (meta-GGA SCAN) on a crystal of ThCu2P2 relaxed with PBEsol.

Unit cell a=3.963 b=3.963 c=6.422 alpha=90.00 beta=90.00 gamma=120.00
Element x y z (fractional)
P1 0.333 0.667 0.271
P2 0.667 0.333 0.729
Cu1 0.333 0.667 0.639
Cu2 0.667 0.333 0.361
Th1 0.000 0.000 0.000

## Properties
ΔH_f (0 K): -812 meV/atom
VASP energy: -151.17 eV for the cell shown

---

# 7
VASP calculation (meta-GGA SCAN) on a crystal of ZnCuTe2 relaxed with PBEsol.

Unit cell a=5.923 b=5.923 c=7.246 alpha=114.12 beta=114.12 gamma=90.00
Element x y z (fractional)
Zn1 0.250 0.750 0.500
Zn2 0.000 0.000 0.000
Te1 0.389 0.875 0.250
Te2 0.861 0.375 0.250
Te3 0.125 0.139 0.750
Te4 0.625 0.611 0.750
Cu1 0.750 0.250 0.500
Cu2 0.500 0.500 0.000

## Properties
VASP energy: -208.25 eV for the cell shown
Energy above the most stable polymorph in this dataset: 0 meV per atom

---

# 8
VASP calculation (meta-GGA SCAN) on a crystal of Hf2TeAs relaxed with PBEsol.

Unit cell a=4.798 b=4.798 c=4.798 alpha=60.00 beta=60.00 gamma=60.00
Element x y z (fractional)
As1 0.000 0.000 0.000
Te1 0.500 0.500 0.500
Hf1 0.250 0.250 0.250
Hf2 0.750 0.750 0.750

## Properties
VASP energy: -185.19 eV for the cell shown